The following is a DFT calculation (PBE) of an optimized crystal structure of Be2IrRu.

Lattice parameters (Å, degrees): 3.952 2.799 7.944 90.00 90.00 90.00
Fractional positions:
Be: 0.250 0.000 0.131
Be: 0.250 0.000 0.641
Be: 0.750 0.000 0.359
Be: 0.750 0.000 0.869
Ir: 0.250 0.500 0.876
Ir: 0.750 0.500 0.124
Ru: 0.250 0.500 0.390
Ru: 0.750 0.500 0.610

Calculated values
Its calculated volume is 87.9 Å³/cell. The total magnetization is 0.00 Bohr magnetons per cell. The density of states at the Fermi level comes out at 5.903 states/eV/cell. The calculation puts the energy relative to the elements at -0.3824 eV/atom.